Entry 1:
Material: Hg8SeS5
Method: DFT, PBE-GGA
State: relaxed

Structure (CIF):
```
data_Hg8SeS5
_cell_length_a 8.1531
_cell_length_b 8.1531
_cell_length_c 8.1531
_cell_angle_alpha 60.00
_cell_angle_beta 60.00
_cell_angle_gamma 60.00
_symmetry_space_group_name_H-M 'P 1'
_symmetry_Int_Tables_number 1
loop_
_symmetry_equiv_pos_as_xyz
'x,y,z'
loop_
_atom_site_label
_atom_site_type_symbol
_atom_site_fract_x
_atom_site_fract_y
_atom_site_fract_z
S1 S 0.6261 0.6261 0.6261
S2 S 0.0000 0.0000 0.0000
S3 S 0.1217 0.6261 0.6261
S4 S 0.6261 0.6261 0.1217
S5 S 0.6261 0.1217 0.6261
Se1 Se 0.2500 0.2500 0.2500
Hg1 Hg 0.8683 0.3950 0.8683
Hg2 Hg 0.3950 0.8683 0.8683
Hg3 Hg 0.8683 0.8683 0.8683
Hg4 Hg 0.3857 0.3857 0.3857
Hg5 Hg 0.8683 0.8683 0.3950
Hg6 Hg 0.3857 0.3857 0.8429
Hg7 Hg 0.3857 0.8429 0.3857
Hg8 Hg 0.8429 0.3857 0.3857
```

Calculated values
DFT total energy: -25.8 eV for the cell shown
symmetry: F-43m, No. 216
formation energy (no corrections): 0.053 eV/atom
volume: 27.37 Å³ per atom

Entry 2:
Material: Hg2SeS
Method: DFT, PBE-GGA
State: relaxed

Structure (CIF):
```
data_Hg2SeS
_cell_length_a 4.3318
_cell_length_b 4.3318
_cell_length_c 6.1369
_cell_angle_alpha 90.00
_cell_angle_beta 90.00
_cell_angle_gamma 90.00
_symmetry_space_group_name_H-M 'P 1'
_symmetry_Int_Tables_number 1
loop_
_symmetry_equiv_pos_as_xyz
'x,y,z'
loop_
_atom_site_label
_atom_site_type_symbol
_atom_site_fract_x
_atom_site_fract_y
_atom_site_fract_z
S1 S 0.5000 0.5000 0.0000
Hg1 Hg 0.5000 0.0000 0.7619
Hg2 Hg 0.0000 0.5000 0.2381
Se1 Se 0.0000 0.0000 0.5000
```

Calculated values
DFT total energy: -8.9 eV for the cell shown
symmetry: P-4m2, No. 115
formation energy (no corrections): -0.168 eV/atom
volume: 28.79 Å³ per atom
distance to the lowest polymorph of the same formula: 2.7 meV/atom

Entry 3:
Material: Hg2SeS2
Method: DFT, PBE-GGA
State: relaxed

Structure (CIF):
```
data_Hg2SeS2
_cell_length_a 5.2471
_cell_length_b 5.2471
_cell_length_c 5.5262
_cell_angle_alpha 61.66
_cell_angle_beta 61.66
_cell_angle_gamma 90.00
_symmetry_space_group_name_H-M 'P 1'
_symmetry_Int_Tables_number 1
loop_
_symmetry_equiv_pos_as_xyz
'x,y,z'
loop_
_atom_site_label
_atom_site_type_symbol
_atom_site_fract_x
_atom_site_fract_y
_atom_site_fract_z
Se1 Se 0.0000 0.0000 0.0000
S1 S 0.6282 0.6282 0.7437
S2 S 0.3718 0.3718 0.2563
Hg1 Hg 0.2500 0.7500 0.5000
Hg2 Hg 0.7500 0.2500 0.5000
```

Calculated values
DFT total energy: -11.0 eV for the cell shown
symmetry: I4/mmm, No. 139
formation energy (no corrections): 0.274 eV/atom
volume: 22.55 Å³ per atom
distance to the lowest polymorph of the same formula: 54.0 meV/atom

Entry 4:
Material: HgSeS6
Method: DFT, PBE-GGA
State: relaxed

Structure (CIF):
```
data_HgSeS6
_cell_length_a 6.7534
_cell_length_b 7.3563
_cell_length_c 5.8558
_cell_angle_alpha 72.11
_cell_angle_beta 69.51
_cell_angle_gamma 53.79
_symmetry_space_group_name_H-M 'P 1'
_symmetry_Int_Tables_number 1
loop_
_symmetry_equiv_pos_as_xyz
'x,y,z'
loop_
_atom_site_label
_atom_site_type_symbol
_atom_site_fract_x
_atom_site_fract_y
_atom_site_fract_z
S1 S 0.0901 0.5868 0.1585
S2 S 0.8489 0.0408 0.4410
S3 S 0.9099 0.4132 0.8415
S4 S 0.3185 0.3514 0.9436
S5 S 0.6815 0.6486 0.0564
S6 S 0.1511 0.9592 0.5590
Se1 Se 0.0000 0.0000 0.0000
Hg1 Hg 0.5000 0.5000 0.5000
```

Calculated values
DFT total energy: -27.6 eV for the cell shown
symmetry: P-1, No. 2
formation energy (no corrections): 0.113 eV/atom
volume: 27.24 Å³ per atom

Entry 5:
Material: Hg2SeS
Method: DFT, PBE-GGA
State: relaxed

Structure (CIF):
```
data_Hg2SeS
_cell_length_a 3.9723
_cell_length_b 3.9723
_cell_length_c 7.2312
_cell_angle_alpha 74.06
_cell_angle_beta 74.06
_cell_angle_gamma 60.00
_symmetry_space_group_name_H-M 'P 1'
_symmetry_Int_Tables_number 1
loop_
_symmetry_equiv_pos_as_xyz
'x,y,z'
loop_
_atom_site_label
_atom_site_type_symbol
_atom_site_fract_x
_atom_site_fract_y
_atom_site_fract_z
Hg1 Hg 0.0855 0.0855 0.7436
Hg2 Hg 0.2492 0.2492 0.2524
S1 S 0.4965 0.4965 0.5106
Se1 Se 0.6688 0.6688 0.9935
```

Calculated values
DFT total energy: -7.9 eV for the cell shown
symmetry: R3m, No. 160
formation energy (no corrections): 0.078 eV/atom
volume: 23.43 Å³ per atom
distance to the lowest polymorph of the same formula: 248.7 meV/atom

Entry 6:
Material: Hg2Se2S
Method: DFT, PBE-GGA
State: relaxed

Structure (CIF):
```
data_Hg2Se2S
_cell_length_a 7.5238
_cell_length_b 7.5238
_cell_length_c 4.4409
_cell_angle_alpha 90.00
_cell_angle_beta 90.00
_cell_angle_gamma 90.00
_symmetry_space_group_name_H-M 'P 1'
_symmetry_Int_Tables_number 1
loop_
_symmetry_equiv_pos_as_xyz
'x,y,z'
loop_
_atom_site_label
_atom_site_type_symbol
_atom_site_fract_x
_atom_site_fract_y
_atom_site_fract_z
Hg1 Hg 0.3705 0.1295 0.5000
Hg2 Hg 0.6295 0.8705 0.5000
Hg3 Hg 0.8705 0.3705 0.5000
Hg4 Hg 0.1295 0.6295 0.5000
Se1 Se 0.2746 0.7746 0.0000
Se2 Se 0.7746 0.7254 0.0000
Se3 Se 0.2254 0.2746 0.0000
Se4 Se 0.7254 0.2254 0.0000
S1 S 0.5000 0.5000 0.0000
S2 S 0.0000 0.0000 0.0000
```

Calculated values
DFT total energy: -21.6 eV for the cell shown
symmetry: P4/mbm, No. 127
formation energy (no corrections): 0.183 eV/atom
volume: 25.14 Å³ per atom
distance to the lowest polymorph of the same formula: 0.0 meV/atom

Entry 7:
Material: Hg2SeS
Method: DFT, PBE-GGA
State: relaxed

Structure (CIF):
```
data_Hg2SeS
_cell_length_a 4.1546
_cell_length_b 4.1546
_cell_length_c 8.3352
_cell_angle_alpha 75.57
_cell_angle_beta 75.57
_cell_angle_gamma 60.00
_symmetry_space_group_name_H-M 'P 1'
_symmetry_Int_Tables_number 1
loop_
_symmetry_equiv_pos_as_xyz
'x,y,z'
loop_
_atom_site_label
_atom_site_type_symbol
_atom_site_fract_x
_atom_site_fract_y
_atom_site_fract_z
Se1 Se 0.5000 0.5000 0.5000
S1 S 0.0000 0.0000 0.0000
Hg1 Hg 0.1008 0.1008 0.6975
Hg2 Hg 0.8992 0.8992 0.3025
```

Calculated values
DFT total energy: -7.2 eV for the cell shown
symmetry: R-3m, No. 166
formation energy (no corrections): 0.253 eV/atom
volume: 29.83 Å³ per atom
distance to the lowest polymorph of the same formula: 423.0 meV/atom

Entry 8:
Material: Hg3Se2S
Method: DFT, PBE-GGA
State: relaxed

Structure (CIF):
```
data_Hg3Se2S
_cell_length_a 7.5600
_cell_length_b 7.5600
_cell_length_c 7.5576
_cell_angle_alpha 99.61
_cell_angle_beta 99.61
_cell_angle_gamma 120.00
_symmetry_space_group_name_H-M 'P 1'
_symmetry_Int_Tables_number 1
loop_
_symmetry_equiv_pos_as_xyz
'x,y,z'
loop_
_atom_site_label
_atom_site_type_symbol
_atom_site_fract_x
_atom_site_fract_y
_atom_site_fract_z
Hg1 Hg 0.2092 0.0530 0.8743
Hg2 Hg 0.0530 0.2092 0.3743
Hg3 Hg 0.8896 0.3774 0.8864
Hg4 Hg 0.3774 0.8896 0.3864
Hg5 Hg 0.7303 0.5632 0.3877
Hg6 Hg 0.5632 0.7303 0.8877
Se1 Se 0.2604 0.7646 0.0071
Se2 Se 0.4275 0.5956 0.5077
Se3 Se 0.5956 0.4275 0.0077
Se4 Se 0.7646 0.2604 0.5071
S1 S 0.0937 0.9308 0.5080
S2 S 0.9308 0.0937 0.0080
```

Calculated values
DFT total energy: -26.2 eV for the cell shown
symmetry: Cc, No. 9
formation energy (no corrections): -0.184 eV/atom
volume: 29.38 Å³ per atom
distance to the lowest polymorph of the same formula: 0.0 meV/atom

Q: Among the records above, which one has the lowest volume?
A: Hg2SeS2